[1]
The following is a DFT calculation (PBE-GGA) of a relaxed structure of Hg2IrOs.

Summary:
ΔE_f (eV/atom): 0.48
ΔE to the lowest computed polymorph (meV per atom): 62.4
SG: R3m (160)

Structure (CIF):
```
data_Hg2IrOs
_chemical_formula_sum 'Hg2 Ir1 Os1'
_space_group_name_H-M_alt 'P 1'
_space_group_IT_number 1
_cell_length_a 10.1422
_cell_length_b 10.1422
_cell_length_c 10.1422
_cell_angle_alpha 16.31
_cell_angle_beta 16.31
_cell_angle_gamma 16.31
loop_
_space_group_symop_operation_xyz
'x,y,z'
loop_
_atom_site_label
_atom_site_fract_x
_atom_site_fract_y
_atom_site_fract_z
_atom_site_occupancy
Hg1 0.0075 0.0075 0.0075 1
Hg2 0.2422 0.2422 0.2422 1
Ir1 0.4922 0.4922 0.4922 1
Os1 0.7581 0.7581 0.7581 1
```



[2]
The following is a DFT calculation (PBE-GGA) of a relaxed structure of SrAl3Mo.

Summary:
ΔE_f (eV/atom): 2.38
ΔE to the lowest computed polymorph (meV per atom): 2434.3
SG: Pm-3m (221)

Structure (CIF):
```
data_SrAl3Mo
_chemical_formula_sum 'Sr1 Al3 Mo1'
_space_group_name_H-M_alt 'P 1'
_space_group_IT_number 1
_cell_length_a 5.2350
_cell_length_b 5.2350
_cell_length_c 5.2350
_cell_angle_alpha 90.00
_cell_angle_beta 90.00
_cell_angle_gamma 90.00
loop_
_space_group_symop_operation_xyz
'x,y,z'
loop_
_atom_site_label
_atom_site_fract_x
_atom_site_fract_y
_atom_site_fract_z
_atom_site_occupancy
Sr1 0.0000 0.0000 0.0000 1
Mo1 0.5000 0.5000 0.5000 1
Al1 0.0000 0.5000 0.0000 1
Al2 0.0000 0.0000 0.5000 1
Al3 0.5000 0.0000 0.0000 1
```



[3]
The following is a DFT calculation (PBE-GGA) of a relaxed structure of CaI2Cl.

Summary:
Raw formation energy (kcal/mol of atoms): -26.825
ΔE to the lowest computed polymorph (meV per atom): 0.0
SG: I-42d (122)

Structure (CIF):
```
data_CaI2Cl
_chemical_formula_sum 'Ca2 I4 Cl2'
_space_group_name_H-M_alt 'P 1'
_space_group_IT_number 1
_cell_length_a 9.8682
_cell_length_b 9.8682
_cell_length_c 7.5917
_cell_angle_alpha 49.46
_cell_angle_beta 49.46
_cell_angle_gamma 90.00
loop_
_space_group_symop_operation_xyz
'x,y,z'
loop_
_atom_site_label
_atom_site_fract_x
_atom_site_fract_y
_atom_site_fract_z
_atom_site_occupancy
I1 0.6697 0.1250 0.2500 1
I2 0.0803 0.6250 0.2500 1
I3 0.3750 0.3303 0.7500 1
I4 0.8750 0.9197 0.7500 1
Ca1 0.0000 0.0000 0.0000 1
Ca2 0.7500 0.2500 0.5000 1
Cl1 0.5000 0.5000 0.0000 1
Cl2 0.2500 0.7500 0.5000 1
```



[4]
The following is a DFT calculation (PBE-GGA) of a relaxed structure of PaFeSn.

Summary:
ΔE_f (eV/atom): -0.20
SG: F-43m (216)

Structure (CIF):
```
data_PaFeSn
_chemical_formula_sum 'Pa1 Fe1 Sn1'
_space_group_name_H-M_alt 'P 1'
_space_group_IT_number 1
_cell_length_a 4.5123
_cell_length_b 4.5123
_cell_length_c 4.5123
_cell_angle_alpha 60.00
_cell_angle_beta 60.00
_cell_angle_gamma 60.00
loop_
_space_group_symop_operation_xyz
'x,y,z'
loop_
_atom_site_label
_atom_site_fract_x
_atom_site_fract_y
_atom_site_fract_z
_atom_site_occupancy
Pa1 0.0000 0.0000 0.0000 1
Sn1 0.5000 0.5000 0.5000 1
Fe1 0.2500 0.2500 0.2500 1
```



[5]
The following is a DFT calculation (PBE-GGA) of a relaxed structure of LaThGe2Rh5.

Summary:
ΔE_f (eV/atom): -0.62
SG: P4/mmm (123)

Structure (CIF):
```
data_LaThGe2Rh5
_chemical_formula_sum 'La1 Th1 Ge2 Rh5'
_space_group_name_H-M_alt 'P 1'
_space_group_IT_number 1
_cell_length_a 4.0508
_cell_length_b 4.0508
_cell_length_c 11.5789
_cell_angle_alpha 90.00
_cell_angle_beta 90.00
_cell_angle_gamma 90.00
loop_
_space_group_symop_operation_xyz
'x,y,z'
loop_
_atom_site_label
_atom_site_fract_x
_atom_site_fract_y
_atom_site_fract_z
_atom_site_occupancy
La1 0.0000 0.0000 0.5000 1
Th1 0.0000 0.0000 0.0000 1
Ge1 0.5000 0.5000 0.2921 1
Ge2 0.5000 0.5000 0.7079 1
Rh1 0.0000 0.5000 0.1746 1
Rh2 0.5000 0.0000 0.1746 1
Rh3 0.0000 0.5000 0.8254 1
Rh4 0.5000 0.0000 0.8254 1
Rh5 0.5000 0.5000 0.5000 1
```



[6]
The following is a DFT calculation (PBE-GGA) of a relaxed structure of AlSbAs.

Summary:
Raw formation energy (kcal/mol of atoms): 0.432
SG: P3m1 (156)

Structure (CIF):
```
data_AlSbAs
_chemical_formula_sum 'Al1 Sb1 As1'
_space_group_name_H-M_alt 'P 1'
_space_group_IT_number 1
_cell_length_a 3.9470
_cell_length_b 3.9470
_cell_length_c 5.0426
_cell_angle_alpha 90.00
_cell_angle_beta 90.00
_cell_angle_gamma 120.00
loop_
_space_group_symop_operation_xyz
'x,y,z'
loop_
_atom_site_label
_atom_site_fract_x
_atom_site_fract_y
_atom_site_fract_z
_atom_site_occupancy
Sb1 0.6667 0.3333 0.6805 1
As1 0.3333 0.6667 0.2833 1
Al1 0.0000 0.0000 0.0362 1
```



[7]
The following is a DFT calculation (PBE-GGA) of a relaxed structure of RbAu2S2.

Summary:
Raw formation energy (kcal/mol of atoms): -4.068
ΔE to the lowest computed polymorph (meV per atom): 85.3
SG: I4/mmm (139)

Structure (CIF):
```
data_RbAu2S2
_chemical_formula_sum 'Rb1 Au2 S2'
_space_group_name_H-M_alt 'P 1'
_space_group_IT_number 1
_cell_length_a 4.3541
_cell_length_b 4.3541
_cell_length_c 7.1676
_cell_angle_alpha 72.32
_cell_angle_beta 72.32
_cell_angle_gamma 90.00
loop_
_space_group_symop_operation_xyz
'x,y,z'
loop_
_atom_site_label
_atom_site_fract_x
_atom_site_fract_y
_atom_site_fract_z
_atom_site_occupancy
S1 0.3617 0.3617 0.2766 1
S2 0.6383 0.6383 0.7234 1
Au1 0.7500 0.2500 0.5000 1
Au2 0.2500 0.7500 0.5000 1
Rb1 0.0000 0.0000 0.0000 1
```



[8]
The following is a DFT calculation (PBE-GGA) of a relaxed structure of NpInSe2.

Summary:
Raw formation energy (kcal/mol of atoms): -18.376
SG: R3m (160)

Structure (CIF):
```
data_NpInSe2
_chemical_formula_sum 'Np1 In1 Se2'
_space_group_name_H-M_alt 'P 1'
_space_group_IT_number 1
_cell_length_a 4.1623
_cell_length_b 4.1623
_cell_length_c 8.2139
_cell_angle_alpha 75.32
_cell_angle_beta 75.32
_cell_angle_gamma 60.00
loop_
_space_group_symop_operation_xyz
'x,y,z'
loop_
_atom_site_label
_atom_site_fract_x
_atom_site_fract_y
_atom_site_fract_z
_atom_site_occupancy
Np1 0.6673 0.6673 0.9980 1
In1 0.4970 0.4970 0.5090 1
Se1 0.0694 0.0694 0.7918 1
Se2 0.2662 0.2662 0.2013 1
```